1.
! Tc2Mo3Pd2, optimized geometry, DFT GGA-PBE; values from VASP
&SYSTEM
  ibrav = 0, nat = 7, ntyp = 3
/
ATOMIC_SPECIES
Tc 98.00 Tc.upf
Mo 95.94 Mo.upf
Pd 106.42 Pd.upf
ATOMIC_POSITIONS crystal
Tc 0.714 0.500 0.572
Tc 0.286 0.500 0.428
Mo 0.150 0.000 0.700
Mo 0.850 0.000 0.300
Mo 0.000 0.000 0.000
Pd 0.572 0.500 0.856
Pd 0.428 0.500 0.144
CELL_PARAMETERS angstrom
-1.690 -0.097 -3.892
0.209 -2.690 -0.024
-9.424 -0.749 1.797
! ΔE_f, meV per atom: 125
! V, Å³ per cell: 107



2.
! PuTlAsO6, optimized geometry, DFT GGA-PBE; values from VASP
&SYSTEM
  ibrav = 0, nat = 9, ntyp = 4
/
ATOMIC_SPECIES
O 16.00 O.upf
Tl 204.38 Tl.upf
Pu 244.00 Pu.upf
As 74.92 As.upf
ATOMIC_POSITIONS crystal
O 0.609 0.363 0.672
O 0.609 0.028 0.328
O 0.028 0.363 0.328
O 0.363 0.609 0.328
O 0.363 0.028 0.672
O 0.028 0.609 0.672
Tl 0.000 0.000 0.000
Pu 0.667 0.667 0.500
As 0.333 0.333 0.500
CELL_PARAMETERS angstrom
5.348 0.000 0.000
2.674 4.631 0.000
0.000 0.000 6.223
! V, Å³ per cell: 154
! Energy relative to the elements, uncorrected, meV/atom: -1592.5



3.
! CaPrMgZn, optimized geometry, DFT GGA-PBE; values from VASP
&SYSTEM
  ibrav = 0, nat = 4, ntyp = 4
/
ATOMIC_SPECIES
Ca 40.08 Ca.upf
Pr 140.91 Pr.upf
Zn 65.41 Zn.upf
Mg 24.30 Mg.upf
ATOMIC_POSITIONS crystal
Ca 0.000 0.000 0.881
Pr 0.000 0.000 0.331
Zn 0.500 0.500 0.111
Mg 0.500 0.500 0.605
CELL_PARAMETERS angstrom
-1.426 0.343 3.468
-3.475 -0.425 -1.387
0.555 -7.797 0.999
! ΔE_f, meV per atom: -176
! V, Å³ per cell: 112
! Excess energy over the best structure of this formula in the dataset, eV per atom: 0.0000



4.
! Ba3Ca2NbO8, optimized geometry, DFT GGA-PBE; values from VASP
&SYSTEM
  ibrav = 0, nat = 14, ntyp = 4
/
ATOMIC_SPECIES
Ba 137.33 Ba.upf
O 16.00 O.upf
Ca 40.08 Ca.upf
Nb 92.91 Nb.upf
ATOMIC_POSITIONS crystal
Ba 0.333 0.667 0.624
Ba 0.000 0.000 0.000
Ba 0.667 0.333 0.376
O 0.846 0.154 0.654
O 0.333 0.667 0.929
O 0.308 0.154 0.654
O 0.154 0.846 0.346
O 0.846 0.692 0.654
O 0.692 0.846 0.346
O 0.667 0.333 0.071
O 0.154 0.308 0.346
Ca 0.333 0.667 0.198
Ca 0.667 0.333 0.802
Nb 0.000 0.000 0.500
CELL_PARAMETERS angstrom
-2.958 1.204 5.174
-2.605 -3.477 -4.253
3.168 -6.415 3.304
! V, Å³ per cell: 252
! Energy relative to the elements, uncorrected, meV/atom: -2509.8



5.
! KGaB2Au, optimized geometry, DFT GGA-PBE; values from VASP
&SYSTEM
  ibrav = 0, nat = 5, ntyp = 4
/
ATOMIC_SPECIES
Ga 69.72 Ga.upf
B 10.81 B.upf
Au 196.97 Au.upf
K 39.10 K.upf
ATOMIC_POSITIONS crystal
Ga 0.500 0.500 0.500
B 0.500 0.000 0.000
B 0.000 0.000 0.500
Au 0.000 0.500 0.000
K 0.000 0.000 0.000
CELL_PARAMETERS angstrom
5.112 0.000 0.000
0.000 5.775 0.000
0.000 0.000 5.112
! ΔE_f, meV per atom: 2459
! V, Å³ per cell: 151



6.
! Pm3TlAg2, optimized geometry, DFT GGA-PBE; values from VASP
&SYSTEM
  ibrav = 0, nat = 6, ntyp = 3
/
ATOMIC_SPECIES
Pm 145.00 Pm.upf
Tl 204.38 Tl.upf
Ag 107.87 Ag.upf
ATOMIC_POSITIONS crystal
Pm 0.000 0.000 0.678
Pm 0.000 0.000 0.000
Pm 0.000 0.000 0.322
Tl 0.500 0.500 0.500
Ag 0.500 0.500 0.159
Ag 0.500 0.500 0.841
CELL_PARAMETERS angstrom
3.708 0.000 0.000
0.000 3.708 0.000
0.000 0.000 11.795
! ΔE_f, meV per atom: -303
! V, Å³ per cell: 162